# 1
Entry from Alexandria via LeMat-Bulk: crystalline VGaNF2 at its relaxed geometry (PBE+U).

POSCAR file:
```
VGaNF2
1.0
-1.590 -0.989 -3.692
-3.203 -1.838 1.871
-1.934 3.315 -0.055
N F Ga V
1 2 1 1
direct
0.000 0.000 0.500
0.000 0.500 0.000
0.500 0.000 0.000
0.500 0.500 0.500
0.000 0.000 0.000
```

Properties
Distance to the lowest polymorph of the same formula: 0 meV per atom
Space group: No. 123
Spin magnetization: 1.0 μB per formula unit
D(E_F): 0.83 states/eV per cell



# 2
Entry from Alexandria via LeMat-Bulk: crystalline VGaNF2 at its relaxed geometry (PBE+U).

POSCAR file:
```
VGaNF2
1.0
-3.801 0.908 -0.340
-0.927 -3.806 0.200
-0.283 0.273 3.893
F N V Ga
2 1 1 1
direct
0.000 0.500 0.000
0.500 0.000 0.000
0.000 0.000 0.500
0.500 0.500 0.500
0.000 0.000 0.000
```

Properties
Distance to the lowest polymorph of the same formula: 308 meV per atom
Space group: No. 123
Spin magnetization: 3.0 μB per formula unit
D(E_F): 0.22 states/eV per cell



# 3
Entry from Alexandria via LeMat-Bulk: crystalline GaWN2F at its relaxed geometry (PBE+U).

POSCAR file:
```
GaWN2F
1.0
4.024 0.000 0.000
0.000 4.024 0.000
0.000 0.000 4.259
N F Ga W
2 1 1 1
direct
0.000 0.500 0.000
0.500 0.000 0.000
0.000 0.000 0.500
0.500 0.500 0.500
0.000 0.000 0.000
```

Properties
Distance to the lowest polymorph of the same formula: 0 meV per atom
Space group: No. 123
Spin magnetization: 0.2 μB per formula unit
D(E_F): 1.96 states/eV per cell



What did the second record say?
Entry from Alexandria via LeMat-Bulk: crystalline VGaNF2 at its relaxed geometry (PBE+U).

POSCAR file:
```
VGaNF2
1.0
-3.801 0.908 -0.340
-0.927 -3.806 0.200
-0.283 0.273 3.893
F N V Ga
2 1 1 1
direct
0.000 0.500 0.000
0.500 0.000 0.000
0.000 0.000 0.500
0.500 0.500 0.500
0.000 0.000 0.000
```

Properties
Distance to the lowest polymorph of the same formula: 308 meV per atom
Space group: No. 123
Spin magnetization: 3.0 μB per formula unit
D(E_F): 0.22 states/eV per cell



Among the records above, which one has the lowest D(E_F)?
number 2



What is the distance to the lowest polymorph of the same formula in the third record?
0 meV per atom



Which of these has the lowest spin magnetization?
GaWN2F